Computed, not measured: a relaxed structure of Y3GeP2Ir9 at the PBE-GGA level of DFT.

## Properties
Its size of the total moment is 0.00 μB/cell. Its space group is P-3m1, No. 164. The crystal system is trigonal.

a b c (Å): 5.6526 5.6526 10.1930
angles (deg): 90.00 90.00 120.00
Closest atoms and distances in Å follow each position.
Element x y z (fractional)
1 Y 0.3333 0.6667 0.5817  9 Ir 3.04-3.27, 3 Ge 3.37
2 Y 0.0000 0.0000 0.0000  6 Ir 2.83
3 Y 0.6667 0.3333 0.4183  9 Ir 3.04-3.27, 3 Ge 3.37
4 Ge 0.0000 0.0000 0.5000  6 Ir 2.51
5 P 0.3333 0.6667 0.1606  6 Ir 2.27-2.31
6 P 0.6667 0.3333 0.8394  6 Ir 2.27-2.31
7 Ir 0.8403 0.1597 0.6925  1 P 2.27, 1 Ge 2.51
8 Ir 0.8403 0.6806 0.6925  1 P 2.27, 1 Ge 2.51
9 Ir 0.3194 0.1597 0.6925  1 P 2.27, 1 Ge 2.51
10 Ir 0.6806 0.8403 0.3075  1 P 2.27, 1 Ge 2.51
11 Ir 0.1597 0.3194 0.3075  1 P 2.27, 1 Ge 2.51
12 Ir 0.1597 0.8403 0.3075  1 P 2.27, 1 Ge 2.51
13 Ir 0.5000 0.0000 0.0000  2 P 2.31
14 Ir 0.0000 0.5000 0.0000  2 P 2.31
15 Ir 0.5000 0.5000 0.0000  2 P 2.31

=====

Computed, not measured: a relaxed structure of Zn2GePIr at the PBE-GGA level of DFT.

## Properties
Its size of the total moment is 0.00 μB/cell. Its space group is P4/mmm, No. 123. The crystal system is tetragonal.

a b c (Å): 4.3841 4.8597 4.3841
angles (deg): 90.00 90.00 90.00
Closest atoms and distances in Å follow each position.
Element x y z (fractional)
1 P 0.0000 0.0000 0.0000  4 Zn 2.19, 2 Ge 2.43
2 Ge 0.0000 0.5000 0.0000  2 P 2.43
3 Ir 0.5000 0.5000 0.5000  4 Ge 3.10, 8 Zn 3.27
4 Zn 0.0000 0.0000 0.5000  2 P 2.19
5 Zn 0.5000 0.0000 0.0000  2 P 2.19

=====

Computed, not measured: a relaxed structure of Pa2GeIr at the PBE-GGA level of DFT.

## Properties
Its size of the total moment is 0.00 μB/cell. Its space group is P4/mmm, No. 123. The crystal system is tetragonal.

a b c (Å): 4.2479 4.3683 4.3683
angles (deg): 90.00 90.00 90.00
Closest atoms and distances in Å follow each position.
Element x y z (fractional)
1 Ge 0.5000 0.5000 0.5000  8 Pa 3.05, 4 Ir 3.09
2 Pa 0.0000 0.0000 0.5000  4 Ge 3.05, 4 Ir 3.05, 4 Pa 3.09
3 Pa 0.0000 0.5000 0.0000  4 Ge 3.05, 4 Ir 3.05, 4 Pa 3.09
4 Ir 0.5000 0.0000 0.0000  8 Pa 3.05, 4 Ge 3.09

=====

Going through the records in order, we get ΔE_f values of -0.400; 0.832; -0.521 eV/atom.